No. 1
{"formula": "NdPuCu4", "functional": "PBE", "state": "optimized geometry", "lattice": [[-0.295, 2.852, 2.713], [-3.786, 0.538, -0.978], [-0.034, -6.851, 4.328]], "species": ["Nd", "Cu", "Cu", "Cu", "Cu", "Pu"], "fractional_positions": [[0.000, 0.000, 0.000], [0.671, 0.171, 0.341], [0.419, 0.419, 0.837], [0.581, 0.581, 0.163], [0.829, 0.329, 0.659], [0.250, 0.750, 0.500]], "m_tot_mub_per_fu": 5.80, "de_polymorph_ev_per_atom": 0.000, "e_form_ev_per_fu": -0.35, "dft_energy_ev_per_atom": -5.97}


No. 2
{"formula": "ScI2Cl", "functional": "PBE", "state": "optimized geometry", "lattice": [[3.673, 0.001, 0.000], [1.836, 7.294, 0.607], [1.837, 3.137, 6.612]], "species": ["I", "I", "Sc", "Cl"], "fractional_positions": [[0.098, 0.885, 0.918], [0.402, 0.582, 0.615], [0.750, 0.895, 0.605], [0.250, 0.139, 0.361]], "e_form_raw_ev_per_atom": -1.436, "m_tot_mub_per_fu": 0.00, "de_polymorph_ev_per_atom": 0.054, "dft_energy_ev_per_atom": -4.26}


No. 3
{"formula": "ZrTiPd2", "functional": "PBE", "state": "optimized geometry", "lattice": [[-4.317, 0.533, 1.749], [0.191, -5.429, 2.128], [1.861, 4.494, 3.222]], "species": ["Ti", "Zr", "Zr", "Pd", "Pd", "Pd", "Pd", "Ti"], "fractional_positions": [[0.750, 0.638, 0.362], [0.250, 0.846, 0.154], [0.750, 0.154, 0.846], [0.750, 0.652, 0.837], [0.250, 0.348, 0.163], [0.250, 0.837, 0.652], [0.750, 0.163, 0.348], [0.250, 0.362, 0.638]], "m_tot_mub_per_fu": 0.00, "de_polymorph_ev_per_atom": 0.000, "e_form_ev_per_fu": -2.27, "dft_energy_ev_per_atom": -7.27}


No. 4
{"formula": "Rb2BaSn2", "functional": "PBE", "state": "optimized geometry", "lattice": [[-2.337, 8.690, 0.492], [-3.366, -1.372, 8.247], [5.350, 1.303, 2.400]], "species": ["Rb", "Rb", "Ba", "Sn", "Rb", "Rb", "Sn", "Ba", "Sn", "Sn"], "fractional_positions": [[0.827, 0.327, 0.500], [0.327, 0.173, 0.500], [0.000, 0.000, 0.000], [0.891, 0.609, 0.000], [0.673, 0.827, 0.500], [0.173, 0.673, 0.500], [0.109, 0.391, 0.000], [0.500, 0.500, 0.000], [0.609, 0.109, 0.000], [0.391, 0.891, 0.000]], "m_tot_mub_per_fu": 0.32, "de_polymorph_ev_per_atom": 0.056, "e_form_ev_per_fu": -0.85, "dft_energy_ev_per_atom": -2.54}


No. 5
{"formula": "Li2BeOs", "functional": "PBE", "state": "optimized geometry", "lattice": [[4.218, 0.000, 0.000], [0.000, 3.284, 0.000], [0.000, 0.000, 3.284]], "species": ["Li", "Li", "Os", "Be"], "fractional_positions": [[0.000, 0.500, 0.500], [0.000, 0.000, 0.000], [0.500, 0.500, 0.000], [0.500, 0.000, 0.500]], "m_tot_mub_per_fu": 0.00, "e_form_ev_per_fu": 0.32, "dft_energy_ev_per_atom": -4.62}


No. 6
{"formula": "Mg3Cd2Sn2", "functional": "PBE", "state": "optimized geometry", "lattice": [[5.328, -0.388, -0.845], [-3.140, 4.393, 0.302], [0.325, 0.804, 7.231]], "species": ["Mg", "Mg", "Cd", "Cd", "Mg", "Sn", "Sn"], "fractional_positions": [[0.419, 0.581, 0.289], [0.581, 0.419, 0.711], [0.867, 0.133, 0.574], [0.133, 0.867, 0.426], [0.000, 0.000, 0.000], [0.708, 0.292, 0.152], [0.292, 0.708, 0.848]], "m_tot_mub_per_fu": 0.00, "de_polymorph_ev_per_atom": 0.000, "e_form_ev_per_fu": -0.67, "dft_energy_ev_per_atom": -2.18}


No. 7
{"formula": "Sr2CuBPt", "functional": "PBE", "state": "optimized geometry", "lattice": [[-1.176, -4.098, -3.676], [-2.485, -1.660, 2.646], [-4.245, 3.068, -2.062]], "species": ["B", "Sr", "Sr", "Pt", "Cu"], "fractional_positions": [[0.000, 0.000, 0.000], [0.500, 0.000, 0.000], [0.000, 0.000, 0.500], [0.000, 0.500, 0.000], [0.500, 0.500, 0.500]], "m_tot_mub_per_fu": 0.00, "e_form_ev_per_fu": -1.04, "dft_energy_ev_per_atom": -4.24}


No. 8
{"formula": "Pr4Sb2C", "functional": "PBE", "state": "optimized geometry", "lattice": [[7.387, 0.000, -0.054], [0.000, 6.732, 0.000], [-2.780, 0.000, 8.646]], "species": ["Sb", "C", "Sb", "Pr", "Pr", "Pr", "Pr", "Pr", "Pr", "C", "Pr", "Sb", "Pr", "Sb"], "fractional_positions": [[0.729, 0.750, 0.059], [0.265, 0.750, 0.193], [0.271, 0.250, 0.941], [0.088, 0.750, 0.924], [0.912, 0.250, 0.076], [0.510, 0.996, 0.740], [0.076, 0.750, 0.368], [0.510, 0.504, 0.740], [0.490, 0.496, 0.260], [0.735, 0.250, 0.807], [0.490, 0.004, 0.260], [0.770, 0.750, 0.564], [0.924, 0.250, 0.632], [0.230, 0.250, 0.436]], "e_form_raw_ev_per_atom": -0.634, "m_tot_mub_per_fu": 0.00, "de_polymorph_ev_per_atom": 0.043, "dft_energy_ev_per_atom": -5.86}


No. 9
{"formula": "Cr2CuOs", "functional": "PBE", "state": "optimized geometry", "lattice": [[-4.344, 1.084, -0.143], [-1.530, 0.133, 4.208], [3.569, 1.945, -1.883]], "species": ["Cr", "Cu", "Os", "Cr"], "fractional_positions": [[0.000, 0.000, 0.000], [0.500, 0.500, 0.000], [0.750, 0.250, 0.500], [0.250, 0.750, 0.500]], "m_tot_mub_per_fu": 0.90, "e_form_ev_per_fu": 1.00, "dft_energy_ev_per_atom": -8.39}


No. 10
{"formula": "Tm2AlZn12Pd3", "functional": "PBE", "state": "optimized geometry", "lattice": [[6.509, -1.401, -0.994], [1.997, 6.352, -0.994], [1.997, 1.162, 6.323]], "species": ["Zn", "Zn", "Zn", "Zn", "Pd", "Pd", "Tm", "Zn", "Zn", "Pd", "Zn", "Zn", "Zn", "Zn", "Al", "Zn", "Tm", "Zn"], "fractional_positions": [[0.797, 0.797, 0.279], [0.203, 0.203, 0.721], [0.569, 0.158, 0.569], [0.431, 0.431, 0.842], [0.000, 0.000, 0.500], [0.000, 0.500, 0.000], [0.745, 0.745, 0.745], [0.158, 0.569, 0.569], [0.797, 0.279, 0.797], [0.500, 0.000, 0.000], [0.569, 0.569, 0.158], [0.279, 0.797, 0.797], [0.431, 0.842, 0.431], [0.203, 0.721, 0.203], [0.000, 0.000, 0.000], [0.842, 0.431, 0.431], [0.255, 0.255, 0.255], [0.721, 0.203, 0.203]], "m_tot_mub_per_fu": 0.00, "e_form_ev_per_fu": -3.90, "dft_energy_ev_per_atom": -2.64}


No. 11
{"formula": "Tl2SiPbS4", "functional": "PBE", "state": "optimized geometry", "lattice": [[6.096, 0.000, 0.000], [0.000, 9.322, 0.000], [0.000, 0.000, 8.459]], "species": ["S", "Si", "S", "Tl", "Pb", "Tl", "S", "Tl", "S", "S", "Pb", "Si", "S", "Tl", "S", "S"], "fractional_positions": [[0.420, 0.713, 0.711], [0.025, 0.180, 0.000], [0.920, 0.287, 0.211], [0.431, 0.347, 0.294], [0.443, 0.901, 0.000], [0.931, 0.653, 0.206], [0.920, 0.287, 0.789], [0.431, 0.347, 0.706], [0.880, 0.804, 0.500], [0.380, 0.196, 0.000], [0.943, 0.099, 0.500], [0.525, 0.820, 0.500], [0.950, 0.954, 0.000], [0.931, 0.653, 0.794], [0.420, 0.713, 0.289], [0.450, 0.046, 0.500]], "e_form_raw_ev_per_atom": -0.530, "m_tot_mub_per_fu": 0.00, "dft_energy_ev_per_atom": -4.33}


No. 12
{"formula": "Y3Tl4CdTe8", "functional": "PBE", "state": "optimized geometry", "lattice": [[8.926, 0.000, 0.000], [0.000, 9.478, 0.378], [-4.463, -4.458, 6.317]], "species": ["Tl", "Te", "Tl", "Y", "Te", "Te", "Tl", "Te", "Te", "Y", "Te", "Y", "Te", "Cd", "Tl", "Te"], "fractional_positions": [[0.000, 0.000, 0.500], [0.261, 0.284, 0.023], [0.500, 0.000, 0.000], [0.000, 0.500, 0.500], [0.761, 0.284, 0.023], [0.239, 0.716, 0.977], [0.500, 0.000, 0.500], [0.261, 0.283, 0.522], [0.739, 0.717, 0.478], [0.500, 0.500, 0.500], [0.761, 0.284, 0.522], [0.500, 0.500, 0.000], [0.239, 0.716, 0.478], [0.000, 0.500, 0.000], [0.000, 0.000, 0.000], [0.739, 0.716, 0.977]], "e_form_raw_ev_per_atom": -0.843, "m_tot_mub_per_fu": 0.00, "dft_energy_ev_per_atom": -4.27}


No. 13
{"formula": "FeRe2Ag", "functional": "PBE", "state": "optimized geometry", "lattice": [[4.943, -0.057, 0.000], [-1.982, 4.528, 0.000], [0.000, 0.000, 2.642]], "species": ["Re", "Re", "Fe", "Ag"], "fractional_positions": [[0.500, 0.500, 0.000], [0.000, 0.000, 0.000], [0.000, 0.500, 0.500], [0.500, 0.000, 0.500]], "m_tot_mub_per_fu": 2.17, "de_polymorph_ev_per_atom": 0.289, "e_form_ev_per_fu": 2.30, "dft_energy_ev_per_atom": -8.48}


No. 14
{"formula": "SrCa2V", "functional": "PBE", "state": "optimized geometry", "lattice": [[-1.100, -5.246, -3.570], [5.016, 1.500, -3.750], [8.011, -7.201, 2.305]], "species": ["Ca", "V", "Ca", "Ca", "Ca", "V", "Sr", "Sr"], "fractional_positions": [[0.375, 0.125, 0.250], [0.250, 0.750, 0.500], [0.875, 0.625, 0.750], [0.375, 0.625, 0.750], [0.375, 0.625, 0.250], [0.500, 0.500, 0.000], [0.000, 0.000, 0.000], [0.750, 0.250, 0.500]], "m_tot_mub_per_fu": 4.90, "de_polymorph_ev_per_atom": 0.585, "e_form_ev_per_fu": 4.51, "dft_energy_ev_per_atom": -2.57}


No. 15
{"formula": "NbBPCl2", "functional": "PBE", "state": "optimized geometry", "lattice": [[-3.858, 0.200, -1.612], [-0.041, -4.165, -0.419], [-1.753, -0.400, 4.144]], "species": ["Nb", "Cl", "B", "Cl", "P"], "fractional_positions": [[0.500, 0.500, 0.500], [0.000, 0.500, 0.000], [0.000, 0.000, 0.000], [0.500, 0.000, 0.000], [0.000, 0.000, 0.500]], "e_form_raw_ev_per_atom": 0.758, "m_tot_mub_per_fu": 1.85, "de_polymorph_ev_per_atom": 0.083, "dft_energy_ev_per_atom": -4.41}


No. 16
{"formula": "AsOsRh2", "functional": "PBE", "state": "optimized geometry", "lattice": [[5.052, -0.017, -0.025], [2.260, 4.518, 0.025], [-3.213, -2.970, 2.525]], "species": ["Rh", "Os", "As", "Rh"], "fractional_positions": [[0.973, 0.973, 0.000], [0.250, 0.750, 0.500], [0.750, 0.250, 0.500], [0.527, 0.527, 0.000]], "m_tot_mub_per_fu": 0.00, "e_form_ev_per_fu": 0.68, "dft_energy_ev_per_atom": -7.47}


No. 17
{"formula": "NaTlBr2F", "functional": "PBE", "state": "optimized geometry", "lattice": [[-0.426, -2.326, 5.326], [5.447, 1.703, 1.179], [-1.610, 4.023, 1.628]], "species": ["F", "Br", "Na", "Br", "Tl"], "fractional_positions": [[0.000, 0.000, 0.500], [0.000, 0.500, 0.000], [0.500, 0.500, 0.500], [0.500, 0.000, 0.000], [0.000, 0.000, 0.000]], "e_form_raw_ev_per_atom": -1.194, "m_tot_mub_per_fu": 0.00, "dft_energy_ev_per_atom": -2.97}


No. 18
{"formula": "KPrSnHg", "functional": "PBE", "state": "optimized geometry", "lattice": [[5.612, 0.000, 0.000], [2.806, 4.860, 0.000], [2.806, 1.620, 4.582]], "species": ["Hg", "Sn", "K", "Pr"], "fractional_positions": [[0.750, 0.750, 0.750], [0.250, 0.250, 0.250], [0.500, 0.500, 0.500], [0.000, 0.000, 0.000]], "m_tot_mub_per_fu": 0.00, "e_form_ev_per_fu": -1.33, "dft_energy_ev_per_atom": -2.88}